CsFe2F7: optimized geometry, PBE with a Hubbard U.

Calculated values
* Fermi-level density of states: 0.0 states/eV/f.u.
* symmetry: Cmmm, No. 65
* final energy: -5.0047 eV/atom

Cell lengths 6.4522, 6.4522, 4.0097 Å; angles 90.00, 90.00, 121.17 degrees
With the nearest neighbours (Å) after each atom.
Fractional coordinates of all 10 atoms:
Cs: 0.0000 0.0000 0.0000  8 F 2.91
Fe: 0.3132 0.6868 0.5000  7 F 1.98-2.18
Fe: 0.6868 0.3132 0.5000  7 F 1.98-2.18
F: 0.0403 0.3464 0.5000  2 Fe 1.98-2.18
F: 0.3076 0.6924 0.0000  2 Fe 2.01
F: 0.3464 0.0403 0.5000  2 Fe 1.98-2.18
F: 0.5000 0.5000 0.5000  2 Fe 2.10
F: 0.6536 0.9597 0.5000  2 Fe 1.98-2.18
F: 0.6924 0.3076 0.0000  2 Fe 2.01
F: 0.9597 0.6536 0.5000  2 Fe 1.98-2.18